Computed, not measured: a geometry-optimized SrAc2Hg4 structure at the PBE level of DFT.

The space group is R-3m (No. 166, hexagonal axes) and the conventional cell measures 5.5146, 5.5146 and 27.8157 Å, with angles of 90.00, 90.00 and 120.00 degrees. Symmetry generates all atoms from Sr at (0.0000, 0.0000, 0.0000), Ac at (0.0000, 0.0000, 0.2448), Hg at (0.0000, 0.0000, 0.1255) and Hg at (0.0000, 0.0000, 0.3730).

The calculation puts the volume at 733 Å³/cell. For the total magnetization, the calculation gives 0.00 μB per atom. The value obtained for the total energy is -40.86 eV/cell. The calculation puts the formation enthalpy at 0 K at -2.5 eV/f.u.

---

Computed, not measured: a geometry-optimized Sr2AcHg2 structure at the PBE level of DFT.

The space group is P2_1/m (No. 11) and the conventional cell measures 6.525, 5.180 and 11.905 Å, with angles of 90.00, 99.82 and 90.00 degrees. Symmetry generates all atoms from Sr at (0.103, 0.250, 0.377), Sr at (0.220, 0.750, 0.955), Ac at (0.446, 0.250, 0.713), Hg at (0.314, 0.250, 0.139) and Hg at (0.356, 0.750, 0.532).

The calculation puts the volume at 396 Å³/cell. For the total magnetization, the calculation gives 0.00 μB per atom. The value obtained for the total energy is -19.57 eV/cell. The calculation puts the energy above the most stable polymorph in this dataset at 0.051 eV per atom. The calculation puts the formation enthalpy at 0 K at -1.7 eV/f.u.

---

Computed, not measured: a geometry-optimized Sr2Ac3Hg3 structure at the PBE level of DFT.

The space group is Immm (No. 71) and the conventional cell measures 4.075, 5.868 and 24.944 Å, with angles of 90.00, 90.00 and 90.00 degrees. Symmetry generates all atoms from Sr at (0.000, 0.000, 0.220), Ac at (0.000, 0.000, 0.000), Ac at (0.000, 0.500, 0.113), Hg at (0.000, 0.000, 0.500) and Hg at (0.000, 0.500, 0.388).

The calculation puts the volume at 597 Å³/cell. For the total magnetization, the calculation gives 0.08 μB per atom. The value obtained for the total energy is -38.29 eV/cell. The calculation puts the formation enthalpy at 0 K at -2.5 eV/f.u.

---

Computed, not measured: a geometry-optimized Sr2AcHg structure at the PBE level of DFT.

The space group is R-3m (No. 166, hexagonal axes) and the conventional cell measures 4.0248, 4.0248 and 37.7436 Å, with angles of 90.00, 90.00 and 120.00 degrees. Symmetry generates all atoms from Sr at (0.0000, 0.0000, 0.1036), Ac at (0.0000, 0.0000, 0.0000) and Hg at (0.0000, 0.0000, 0.5000).

The calculation puts the volume at 529 Å³/cell. For the total magnetization, the calculation gives 0.00 μB per atom. The value obtained for the total energy is -23.53 eV/cell. The calculation puts the energy above the most stable polymorph in this dataset at 0.196 eV per atom. The calculation puts the formation enthalpy at 0 K at -0.1 eV/f.u.

---

Computed, not measured: a geometry-optimized Sr2AcHg3 structure at the PBE level of DFT.

The space group is Cmmm (No. 65) and the conventional cell measures 5.705, 17.013 and 4.017 Å, with angles of 90.00, 90.00 and 90.00 degrees. Symmetry generates all atoms from Sr at (0.000, 0.168, 0.000), Ac at (0.000, 0.500, 0.000), Hg at (0.000, 0.000, 0.500) and Hg at (0.000, 0.334, 0.500).

The calculation puts the volume at 390 Å³/cell. For the total magnetization, the calculation gives 0.00 μB per atom. The value obtained for the total energy is -23.12 eV/cell. The calculation puts the energy above the most stable polymorph in this dataset at 0.000 eV per atom. The calculation puts the formation enthalpy at 0 K at -3.2 eV/f.u.

---

Computed, not measured: a geometry-optimized Sr3Ac2Hg4 structure at the PBE level of DFT.

The space group is C2/m (No. 12) and the conventional cell measures 9.762, 5.637 and 11.494 Å, with angles of 90.00, 90.00 and 90.00 degrees. Symmetry generates all atoms from Sr at (0.000, 0.000, 0.000), Sr at (0.166, 0.500, 0.404), Ac at (0.167, 0.500, 0.802), Hg at (0.001, 0.000, 0.680) and Hg at (0.166, 0.500, 0.102).

The calculation puts the volume at 633 Å³/cell. For the total magnetization, the calculation gives 0.00 μB per atom. The value obtained for the total energy is -36.65 eV/cell. The calculation puts the formation enthalpy at 0 K at -3.9 eV/f.u.

---

Computed, not measured: a geometry-optimized Sr3AcHg2 structure at the PBE level of DFT.

The space group is Pmc2_1 (No. 26) and the conventional cell measures 5.506, 10.352 and 7.982 Å, with angles of 90.00, 90.00 and 90.00 degrees. Symmetry generates all atoms from Sr at (0.000, 0.076, 0.000), Sr at (0.000, 0.320, 0.374), Sr at (0.500, 0.177, 0.672), Ac at (0.500, 0.428, 0.045), Hg at (0.000, 0.366, 0.789) and Hg at (0.500, 0.142, 0.256).

The calculation puts the volume at 455 Å³/cell. For the total magnetization, the calculation gives 0.00 μB per atom. The value obtained for the total energy is -23.45 eV/cell. The calculation puts the formation enthalpy at 0 K at -2.0 eV/f.u.

---

Computed, not measured: a geometry-optimized Sr2AcHg6 structure at the PBE level of DFT.

The space group is P6/mmm (No. 191) and the conventional cell measures 8.8734, 8.8734 and 3.8916 Å, with angles of 90.00, 90.00 and 120.00 degrees. Symmetry generates all atoms from Sr at (0.3333, 0.6667, 0.0000), Ac at (0.0000, 0.0000, 0.0000) and Hg at (0.0000, 0.3354, 0.5000).

The calculation puts the volume at 265 Å³/cell. For the total magnetization, the calculation gives 0.00 μB per atom. The value obtained for the total energy is -13.58 eV/cell. The calculation puts the formation enthalpy at 0 K at -4.3 eV/f.u.

---

Computed, not measured: a geometry-optimized Sr2AcHg structure at the PBE level of DFT.

The space group is R3m (No. 160, hexagonal axes) and the conventional cell measures 4.1662, 4.1662 and 34.2183 Å, with angles of 90.00, 90.00 and 120.00 degrees. Symmetry generates all atoms from Sr at (0.0000, 0.0000, 0.0000), Sr at (0.0000, 0.0000, 0.1968), Ac at (0.0000, 0.0000, 0.7643) and Hg at (0.0000, 0.0000, 0.5988).

The calculation puts the volume at 514 Å³/cell. For the total magnetization, the calculation gives 0.00 μB per atom. The value obtained for the total energy is -25.26 eV/cell. The calculation puts the energy above the most stable polymorph in this dataset at 0.052 eV per atom. The calculation puts the formation enthalpy at 0 K at -0.6 eV/f.u.

---

Computed, not measured: a geometry-optimized SrAcHg structure at the PBE level of DFT.

The space group is C2/m (No. 12) and the conventional cell measures 16.037, 4.070 and 7.708 Å, with angles of 90.00, 109.60 and 90.00 degrees. Symmetry generates all atoms from Sr at (0.020, 0.000, 0.262), Ac at (0.212, 0.500, 0.703) and Hg at (0.125, 0.500, 0.058).

The calculation puts the volume at 474 Å³/cell. For the total magnetization, the calculation gives 0.00 μB per atom. The value obtained for the total energy is -27.56 eV/cell. The calculation puts the energy above the most stable polymorph in this dataset at 0.050 eV per atom. The calculation puts the formation enthalpy at 0 K at -0.8 eV/f.u.

---

Computed, not measured: a geometry-optimized SrAcHg structure at the PBE level of DFT.

The space group is I4mm (No. 107) and the conventional cell measures 4.041, 4.041 and 14.257 Å, with angles of 90.00, 90.00 and 90.00 degrees. Symmetry generates all atoms from Sr at (0.000, 0.000, 0.000), Ac at (0.000, 0.000, 0.273) and Hg at (0.000, 0.000, 0.640).

The calculation puts the volume at 233 Å³/cell. For the total magnetization, the calculation gives 0.00 μB per atom. The value obtained for the total energy is -14.08 eV/cell. The calculation puts the energy above the most stable polymorph in this dataset at 0.000 eV per atom. The calculation puts the formation enthalpy at 0 K at -0.9 eV/f.u.

---

Computed, not measured: a geometry-optimized SrAcHg structure at the PBE level of DFT.

The space group is P3m1 (No. 156) and the conventional cell measures 5.5673, 5.5673 and 4.3515 Å, with angles of 90.00, 90.00 and 120.00 degrees. Symmetry generates all atoms from Sr at (0.0000, 0.0000, 0.0000), Ac at (0.3333, 0.6667, 0.4838) and Hg at (0.6667, 0.3333, 0.7146).

The calculation puts the volume at 117 Å³/cell. For the total magnetization, the calculation gives 0.00 μB per atom. The value obtained for the total energy is -6.57 eV/cell. The calculation puts the energy above the most stable polymorph in this dataset at 0.155 eV per atom. The calculation puts the formation enthalpy at 0 K at -0.5 eV/f.u.

---

Which value of volume does entry 9 give? 514 Å³/cell